No. 1
Computed, not measured: a geometry-optimized HfZrSN2 structure at the GGA-PBE level of DFT.

Summary:
- Relative energy among the computed polymorphs: 300 meV/atom

CIF file:
```
data_HfZrSN2
_cell_length_a 4.120
_cell_length_b 4.120
_cell_length_c 4.936
_cell_angle_alpha 90.00
_cell_angle_beta 90.00
_cell_angle_gamma 90.00
_symmetry_space_group_name_H-M 'P 4/m m m'
_symmetry_Int_Tables_number 123
_symmetry_space_group_name_Hall '-P 4 2'
loop_
_atom_site_label
_atom_site_fract_x
_atom_site_fract_y
_atom_site_fract_z
Hf1 0.000 0.000 0.000
Zr1 0.500 0.500 0.500
S1 0.500 0.500 0.000
N1 0.000 0.500 0.500
```

No. 2
Computed, not measured: a geometry-optimized Mn9Co4N structure at the GGA-PBE level of DFT.

Summary:
- E_tot: -0.3117 hartree per atom

CIF file:
```
data_Mn9Co4N
_cell_length_a 7.1978
_cell_length_b 7.1978
_cell_length_c 7.0082
_cell_angle_alpha 90.00
_cell_angle_beta 90.00
_cell_angle_gamma 120.00
_symmetry_space_group_name_H-M 'P 63/m m c'
_symmetry_Int_Tables_number 194
_symmetry_space_group_name_Hall '-P 6c 2c'
loop_
_atom_site_label
_atom_site_fract_x
_atom_site_fract_y
_atom_site_fract_z
Mn1 0.0968 0.5484 0.2500
Mn2 0.2089 0.4177 0.5665
Co1 0.0000 0.0000 0.0000
Co2 0.1171 0.2342 0.2500
N1 0.3333 0.6667 0.7500
```

No. 3
Computed, not measured: a geometry-optimized NaDyMgAg structure at the GGA-PBE level of DFT.

Summary:
- E_form: 0.017 eV per atom

CIF file:
```
data_NaDyMgAg
_cell_length_a 7.214
_cell_length_b 7.214
_cell_length_c 7.214
_cell_angle_alpha 90.00
_cell_angle_beta 90.00
_cell_angle_gamma 90.00
_symmetry_space_group_name_H-M 'F -4 3 m'
_symmetry_Int_Tables_number 216
_symmetry_space_group_name_Hall 'F -4 2 3'
loop_
_atom_site_label
_atom_site_fract_x
_atom_site_fract_y
_atom_site_fract_z
Na1 0.000 0.000 0.000
Dy1 0.250 0.250 0.750
Mg1 0.250 0.250 0.250
Ag1 0.000 0.000 0.500
```

No. 4
Computed, not measured: a geometry-optimized U4S5Br structure at the GGA-PBE level of DFT.

Summary:
- E_tot: -0.2867 hartree per atom

CIF file:
```
data_U4S5Br
_cell_length_a 7.831
_cell_length_b 9.023
_cell_length_c 6.623
_cell_angle_alpha 90.00
_cell_angle_beta 90.00
_cell_angle_gamma 90.00
_symmetry_space_group_name_H-M 'P m m n'
_symmetry_Int_Tables_number 59
loop_
_symmetry_equiv_pos_as_xyz
'x,y,z'
'-x,-y,-z'
'-x+1/2,-y+1/2,z'
'x+1/2,y+1/2,-z'
'x+1/2,-y,-z'
'-x+1/2,y,z'
'-x,y+1/2,-z'
'x,-y+1/2,z'
loop_
_atom_site_label
_atom_site_fract_x
_atom_site_fract_y
_atom_site_fract_z
U1 0.087 0.250 0.051
U2 0.250 0.557 0.548
S1 0.021 0.545 0.238
S2 0.250 0.750 0.865
Br1 0.250 0.250 0.449
```

Repeat the fourth record exactly.
Computed, not measured: a geometry-optimized U4S5Br structure at the GGA-PBE level of DFT.

Summary:
- E_tot: -0.2867 hartree per atom

CIF file:
```
data_U4S5Br
_cell_length_a 7.831
_cell_length_b 9.023
_cell_length_c 6.623
_cell_angle_alpha 90.00
_cell_angle_beta 90.00
_cell_angle_gamma 90.00
_symmetry_space_group_name_H-M 'P m m n'
_symmetry_Int_Tables_number 59
loop_
_symmetry_equiv_pos_as_xyz
'x,y,z'
'-x,-y,-z'
'-x+1/2,-y+1/2,z'
'x+1/2,y+1/2,-z'
'x+1/2,-y,-z'
'-x+1/2,y,z'
'-x,y+1/2,-z'
'x,-y+1/2,z'
loop_
_atom_site_label
_atom_site_fract_x
_atom_site_fract_y
_atom_site_fract_z
U1 0.087 0.250 0.051
U2 0.250 0.557 0.548
S1 0.021 0.545 0.238
S2 0.250 0.750 0.865
Br1 0.250 0.250 0.449
```